(1)
AgHgSO: relaxed, PBE.

Summary:
The total DFT energy (no corrections) is -3.042 eV per atom.

CIF file:
```
data_AgHgSO
_chemical_formula_sum 'Ag4 Hg4 S4 O4'
_space_group_name_H-M_alt 'P n m a'
_space_group_IT_number 62
_space_group_name_Hall '-P 2ac 2n'
_cell_length_a 6.404
_cell_length_b 3.608
_cell_length_c 12.189
_cell_angle_alpha 90.00
_cell_angle_beta 90.00
_cell_angle_gamma 90.00
loop_
_atom_site_label
_atom_site_type_symbol
_atom_site_fract_x
_atom_site_fract_y
_atom_site_fract_z
_atom_site_occupancy
Ag1 Ag 0.062 0.250 0.248 1
Hg1 Hg 0.246 0.250 0.982 1
S1 S 0.179 0.250 0.632 1
O1 O 0.190 0.750 0.872 1
```

(2)
AgHgSO: relaxed, PBE.

Summary:
The total DFT energy (no corrections) is -3.093 eV per atom.

CIF file:
```
data_AgHgSO
_chemical_formula_sum 'Ag4 Hg4 S4 O4'
_space_group_name_H-M_alt 'P n m a'
_space_group_IT_number 62
_space_group_name_Hall '-P 2ac 2n'
_cell_length_a 6.747
_cell_length_b 3.506
_cell_length_c 12.461
_cell_angle_alpha 90.00
_cell_angle_beta 90.00
_cell_angle_gamma 90.00
loop_
_atom_site_label
_atom_site_type_symbol
_atom_site_fract_x
_atom_site_fract_y
_atom_site_fract_z
_atom_site_occupancy
Ag1 Ag 0.246 0.250 0.027 1
Hg1 Hg 0.035 0.250 0.753 1
S1 S 0.217 0.250 0.393 1
O1 O 0.219 0.750 0.141 1
```

(3)
AgHgSO: relaxed, PBE.

Summary:
The total DFT energy (no corrections) is -3.016 eV per atom.

CIF file:
```
data_AgHgSO
_chemical_formula_sum 'Ag2 Hg2 S2 O2'
_space_group_name_H-M_alt 'P 63 m c'
_space_group_IT_number 186
_space_group_name_Hall 'P 6c -2c'
_cell_length_a 3.6680
_cell_length_b 3.6680
_cell_length_c 12.6407
_cell_angle_alpha 90.00
_cell_angle_beta 90.00
_cell_angle_gamma 120.00
loop_
_atom_site_label
_atom_site_type_symbol
_atom_site_fract_x
_atom_site_fract_y
_atom_site_fract_z
_atom_site_occupancy
Ag1 Ag 0.0000 0.0000 0.0000 1
Hg1 Hg 0.3333 0.6667 0.2577 1
S1 S 0.3333 0.6667 0.6086 1
O1 O 0.0000 0.0000 0.3285 1
```

Copy entry 3 word for word.
AgHgSO: relaxed, PBE.

Summary:
The total DFT energy (no corrections) is -3.016 eV per atom.

CIF file:
```
data_AgHgSO
_chemical_formula_sum 'Ag2 Hg2 S2 O2'
_space_group_name_H-M_alt 'P 63 m c'
_space_group_IT_number 186
_space_group_name_Hall 'P 6c -2c'
_cell_length_a 3.6680
_cell_length_b 3.6680
_cell_length_c 12.6407
_cell_angle_alpha 90.00
_cell_angle_beta 90.00
_cell_angle_gamma 120.00
loop_
_atom_site_label
_atom_site_type_symbol
_atom_site_fract_x
_atom_site_fract_y
_atom_site_fract_z
_atom_site_occupancy
Ag1 Ag 0.0000 0.0000 0.0000 1
Hg1 Hg 0.3333 0.6667 0.2577 1
S1 S 0.3333 0.6667 0.6086 1
O1 O 0.0000 0.0000 0.3285 1
```

> The lowest total DFT energy (no corrections) belongs to which entry?

number 2